A plane-wave DFT calculation with PBE was carried out for a relaxed structure of LiTbEuSi.

## Properties
- Total energy: -23.4 eV per cell
- SG: No. 216

CIF file:
```
data_LiTbEuSi
_chemical_formula_sum 'Li1 Tb1 Eu1 Si1'
_symmetry_space_group_name_H-M 'P 1'
_symmetry_Int_Tables_number 1
_symmetry_space_group_name_Hall 'P 1'
_cell_length_a 5.1176
_cell_length_b 5.1176
_cell_length_c 5.1176
_cell_angle_alpha 60.00
_cell_angle_beta 60.00
_cell_angle_gamma 60.00
loop_
_atom_site_label
_atom_site_type_symbol
_atom_site_fract_x
_atom_site_fract_y
_atom_site_fract_z
Li1 Li 0.0000 0.0000 0.0000
Tb1 Tb 0.2500 0.2500 0.2500
Eu1 Eu 0.7500 0.7500 0.7500
Si1 Si 0.5000 0.5000 0.5000
```

=====

A plane-wave DFT calculation with PBE was carried out for a relaxed structure of BRu.

## Properties
- Total energy: -32.9 eV per cell
- SG: No. 109
- E_form: -254 meV per atom

CIF file:
```
data_BRu
_chemical_formula_sum 'B2 Ru2'
_symmetry_space_group_name_H-M 'P 1'
_symmetry_Int_Tables_number 1
_symmetry_space_group_name_Hall 'P 1'
_cell_length_a 5.4570
_cell_length_b 5.4570
_cell_length_c 5.4570
_cell_angle_alpha 149.70
_cell_angle_beta 149.70
_cell_angle_gamma 43.39
loop_
_atom_site_label
_atom_site_type_symbol
_atom_site_fract_x
_atom_site_fract_y
_atom_site_fract_z
B1 B 0.0000 0.0000 0.0000
B2 B 0.7500 0.2500 0.5000
Ru1 Ru 0.3325 0.8325 0.5000
Ru2 Ru 0.5825 0.5825 0.0000
```

=====

Total moment, record by record: 7.42 0.00 μB per cell